(1)
The following is a PBE calculation of a relaxed structure of ReAg2Br, from Alexandria.

Computed properties:
- formation energy (no corrections) (eV per atom) = 0.578
- Fermi-level density of states (states/eV/f.u.) = 2.59
- space group = R3m, No. 160
- crystal system = trigonal
- ΔE to the lowest computed polymorph (meV per atom) = 0

Unit cell a=9.660 b=9.660 c=9.660 alpha=17.93 beta=17.93 gamma=17.93
Element x y z (fractional)
1 Re 0.751 0.751 0.751
2 Br 0.485 0.485 0.485
3 Ag 0.006 0.006 0.006
4 Ag 0.258 0.258 0.258



(2)
The following is a PBE calculation of a relaxed structure of ReAg2Br, from Alexandria.

Computed properties:
- formation energy (no corrections) (eV per atom) = 0.789
- Fermi-level density of states (states/eV/f.u.) = 2.72
- space group = Amm2, No. 38
- crystal system = orthorhombic
- ΔE to the lowest computed polymorph (meV per atom) = 211

Unit cell a=4.416 b=2.887 c=5.918 alpha=75.91 beta=90.00 gamma=90.00
Element x y z (fractional)
1 Re 0.500 0.569 0.736
2 Br 0.000 0.670 0.534
3 Ag 0.000 0.940 0.995
4 Ag 0.500 0.320 0.236